{"formula": "Cs2WBr7", "functional": "PBE", "state": "optimized geometry", "lattice_angstrom": [[0.000, 5.928, 5.928], [5.928, 0.000, 5.928], [5.928, 5.928, 0.000]], "species": ["Cs", "Cs", "W", "Br", "Br", "Br", "Br", "Br", "Br", "Br"], "frac_coords": [[0.250, 0.250, 0.250], [0.750, 0.750, 0.750], [0.000, 0.000, 0.000], [0.213, 0.213, 0.787], [0.213, 0.787, 0.213], [0.213, 0.787, 0.787], [0.500, 0.500, 0.500], [0.787, 0.213, 0.213], [0.787, 0.213, 0.787], [0.787, 0.787, 0.213]], "dft_energy_ev_per_atom": -3.5340}